# Mg2ScCr (GGA-PBE, relaxed)
# * calculated formation energy: 0.22 eV per atom
# * space-group type: Fm-3m, No. 225
# * Fermi-level density of states: 3.4 states/eV/cell
# * ΔE to the lowest computed polymorph: 0.047 eV/atom
data_Mg2ScCr
_chemical_formula_sum 'Mg2 Sc1 Cr1'
_cell_length_a 4.885
_cell_length_b 4.885
_cell_length_c 4.885
_cell_angle_alpha 60.00
_cell_angle_beta 60.00
_cell_angle_gamma 60.00
_symmetry_space_group_name_H-M 'P 1'
_symmetry_Int_Tables_number 1
loop_
_symmetry_equiv_pos_as_xyz
'x,y,z'
loop_
_atom_site_label
_atom_site_fract_x
_atom_site_fract_y
_atom_site_fract_z
_atom_site_occupancy
Mg1 0.250 0.250 0.250 1
Mg2 0.750 0.750 0.750 1
Sc1 0.000 0.000 0.000 1
Cr1 0.500 0.500 0.500 1

# BaZnAsBr2 (GGA-PBE, relaxed)
# * space-group type: P4/mmm, No. 123
# * ΔE_f (raw): -403 kJ/mol of formula units
# * Fermi-level density of states: 2.6 states/eV/cell
# * ΔE to the lowest computed polymorph: 0.000 eV/atom
data_BaZnAsBr2
_chemical_formula_sum 'Ba1 Zn1 As1 Br2'
_cell_length_a 5.458
_cell_length_b 5.458
_cell_length_c 4.963
_cell_angle_alpha 90.00
_cell_angle_beta 90.00
_cell_angle_gamma 90.00
_symmetry_space_group_name_H-M 'P 1'
_symmetry_Int_Tables_number 1
loop_
_symmetry_equiv_pos_as_xyz
'x,y,z'
loop_
_atom_site_label
_atom_site_fract_x
_atom_site_fract_y
_atom_site_fract_z
_atom_site_occupancy
Ba1 0.000 0.000 0.000 1
Zn1 0.500 0.500 0.500 1
As1 0.500 0.500 0.000 1
Br1 0.000 0.500 0.500 1
Br2 0.500 0.000 0.500 1

# AcPmAu (GGA-PBE, relaxed)
# * calculated formation energy: -0.48 eV per atom
# * space-group type: I4mm, No. 107
# * Fermi-level density of states: 3.9 states/eV/cell
# * ΔE to the lowest computed polymorph: 0.061 eV/atom
data_AcPmAu
_chemical_formula_sum 'Ac1 Pm1 Au1'
_cell_length_a 7.096
_cell_length_b 7.096
_cell_length_c 7.096
_cell_angle_alpha 148.73
_cell_angle_beta 148.73
_cell_angle_gamma 44.80
_symmetry_space_group_name_H-M 'P 1'
_symmetry_Int_Tables_number 1
loop_
_symmetry_equiv_pos_as_xyz
'x,y,z'
loop_
_atom_site_label
_atom_site_fract_x
_atom_site_fract_y
_atom_site_fract_z
_atom_site_occupancy
Ac1 0.000 0.000 0.000 1
Pm1 0.718 0.718 0.000 1
Au1 0.339 0.339 0.000 1

# Tb3PrYHo (GGA-PBE, relaxed)
# * calculated formation energy: 0.00 eV per atom
# * space-group type: P2_1/m, No. 11
# * Fermi-level density of states: 16.5 states/eV/cell
data_Tb3PrYHo
_chemical_formula_sum 'Tb6 Pr2 Y2 Ho2'
_cell_length_a 9.601
_cell_length_b 3.617
_cell_length_c 12.024
_cell_angle_alpha 90.00
_cell_angle_beta 110.32
_cell_angle_gamma 90.00
_symmetry_space_group_name_H-M 'P 1'
_symmetry_Int_Tables_number 1
loop_
_symmetry_equiv_pos_as_xyz
'x,y,z'
loop_
_atom_site_label
_atom_site_fract_x
_atom_site_fract_y
_atom_site_fract_z
_atom_site_occupancy
Tb1 0.067 0.250 0.402 1
Tb2 0.180 0.250 0.848 1
Tb3 0.430 0.750 0.095 1
Tb4 0.570 0.250 0.905 1
Tb5 0.820 0.750 0.152 1
Tb6 0.933 0.750 0.598 1
Pr1 0.372 0.750 0.372 1
Pr2 0.628 0.250 0.628 1
Y1 0.317 0.750 0.655 1
Y2 0.683 0.250 0.345 1
Ho1 0.123 0.250 0.122 1
Ho2 0.877 0.750 0.878 1

# Li2HfUN4 (GGA-PBE, relaxed)
# * space-group type: P2/m, No. 10
# * ΔE_f (raw): -946 kJ/mol of formula units
data_Li2HfUN4
_chemical_formula_sum 'Li2 Hf1 U1 N4'
_cell_length_a 5.357
_cell_length_b 3.401
_cell_length_c 5.666
_cell_angle_alpha 90.00
_cell_angle_beta 108.46
_cell_angle_gamma 90.00
_symmetry_space_group_name_H-M 'P 1'
_symmetry_Int_Tables_number 1
loop_
_symmetry_equiv_pos_as_xyz
'x,y,z'
loop_
_atom_site_label
_atom_site_fract_x
_atom_site_fract_y
_atom_site_fract_z
_atom_site_occupancy
Li1 0.000 0.000 0.000 1
Li2 0.000 0.500 0.500 1
Hf1 0.500 0.000 0.500 1
U1 0.500 0.500 0.000 1
N1 0.289 0.000 0.773 1
N2 0.290 0.500 0.264 1
N3 0.710 0.500 0.736 1
N4 0.711 0.000 0.227 1

# Cd2CoCu (GGA-PBE, relaxed)
# * calculated formation energy: 0.29 eV per atom
# * space-group type: I-4m2, No. 119
# * Fermi-level density of states: 4.5 states/eV/cell
# * ΔE to the lowest computed polymorph: 0.074 eV/atom
data_Cd2CoCu
_chemical_formula_sum 'Cd2 Co1 Cu1'
_cell_length_a 5.001
_cell_length_b 5.001
_cell_length_c 5.001
_cell_angle_alpha 133.74
_cell_angle_beta 133.74
_cell_angle_gamma 67.50
_symmetry_space_group_name_H-M 'P 1'
_symmetry_Int_Tables_number 1
loop_
_symmetry_equiv_pos_as_xyz
'x,y,z'
loop_
_atom_site_label
_atom_site_fract_x
_atom_site_fract_y
_atom_site_fract_z
_atom_site_occupancy
Cd1 0.000 0.000 0.000 1
Cd2 0.750 0.250 0.500 1
Co1 0.250 0.750 0.500 1
Cu1 0.500 0.500 0.000 1

# SrGaI (GGA-PBE, relaxed)
# * space-group type: P1, No. 1
# * ΔE_f (raw): -247 kJ/mol of formula units
# * Fermi-level density of states: 1.4 states/eV/cell
data_SrGaI
_chemical_formula_sum 'Sr2 Ga2 I2'
_cell_length_a 4.625
_cell_length_b 4.638
_cell_length_c 13.145
_cell_angle_alpha 86.06
_cell_angle_beta 89.82
_cell_angle_gamma 60.11
_symmetry_space_group_name_H-M 'P 1'
_symmetry_Int_Tables_number 1
loop_
_symmetry_equiv_pos_as_xyz
'x,y,z'
loop_
_atom_site_label
_atom_site_fract_x
_atom_site_fract_y
_atom_site_fract_z
_atom_site_occupancy
Sr1 0.000 0.000 0.000 1
Sr2 0.290 0.411 0.577 1
Ga1 0.349 0.300 0.136 1
Ga2 0.684 0.630 0.137 1
I1 0.607 0.781 0.438 1
I2 0.975 0.038 0.729 1

# SiOsSe (GGA-PBE, relaxed)
# * space-group type: I4mm, No. 107
# * ΔE_f (raw): 102 kJ/mol of formula units
# * Fermi-level density of states: 1.6 states/eV/cell
# * ΔE to the lowest computed polymorph: 0.187 eV/atom
data_SiOsSe
_chemical_formula_sum 'Si1 Os1 Se1'
_cell_length_a 6.029
_cell_length_b 6.029
_cell_length_c 6.029
_cell_angle_alpha 151.72
_cell_angle_beta 151.72
_cell_angle_gamma 40.42
_symmetry_space_group_name_H-M 'P 1'
_symmetry_Int_Tables_number 1
loop_
_symmetry_equiv_pos_as_xyz
'x,y,z'
loop_
_atom_site_label
_atom_site_fract_x
_atom_site_fract_y
_atom_site_fract_z
_atom_site_occupancy
Si1 0.000 0.000 0.000 1
Os1 0.370 0.370 0.000 1
Se1 0.720 0.720 0.000 1

Quick rundown of calculated total energy, same order as above: -18.3; -15.4; -13.6; -29.7; -68.2; -11.9; -8.8; -19.1 eV per formula unit